Compound: SrLa2Tc
Source: the Alexandria database
Functional: PBE-GGA
Structure: optimized geometry

Cell and atoms, written as extended XYZ:
```
8
Lattice="-4.100 4.100 5.767 4.100 -4.100 5.767 4.100 4.100 -5.767" Properties=species:S:1:pos:R:3 pbc="T T T"
Sr 0.000 0.000 0.000
Sr 0.000 4.100 2.884
La 2.050 3.948 -1.442
La 4.252 2.050 1.442
La 2.050 0.152 4.325
La -0.152 2.050 7.209
Tc 4.100 0.000 2.884
Tc 0.000 0.000 5.767
```

calculated volume = 48.5 Å³ per atom
Fermi-level density of states = 1.3794 states/eV/atom
crystal system = tetragonal
formation enthalpy at 0 K = 0.2996 eV per atom
total magnetic moment = 0.000 Bohr magnetons per cell

Compound: NaScAsCl2
Source: the Alexandria database
Functional: PBE-GGA
Structure: optimized geometry

Cell and atoms, written as extended XYZ:
```
5
Lattice="4.855 0.000 0.000 0.000 4.855 0.000 0.000 0.000 7.894" Properties=species:S:1:pos:R:3 pbc="T T T"
Na 0.000 0.000 0.000
Sc 0.000 0.000 3.947
As 2.427 2.427 0.000
Cl 0.000 2.427 3.947
Cl 2.427 0.000 3.947
```

final energy = -3.779 eV per atom
calculated volume = 37.2 Å³ per atom
Fermi-level density of states = 1.5180 states/eV/atom
crystal system = tetragonal
total magnetic moment = 2.757 Bohr magnetons per cell

Compound: Pm2YSc2
Source: the Alexandria database
Functional: PBE-GGA
Structure: optimized geometry

Cell and atoms, written as extended XYZ:
```
10
Lattice="-2.766 3.395 8.092 2.766 -3.395 8.092 2.766 3.395 -8.092" Properties=species:S:1:pos:R:3 pbc="T T T"
Pm 0.000 1.697 0.111
Pm 2.766 1.697 2.076
Pm 0.000 1.697 6.016
Pm 2.766 1.697 7.981
Y 2.766 1.697 -1.968
Y 0.000 1.697 10.060
Sc 2.766 3.361 -4.964
Sc 2.766 -0.033 4.964
Sc 0.000 3.428 3.127
Sc 0.000 0.033 13.056
```

calculated volume = 30.4 Å³ per atom
Fermi-level density of states = 1.8852 states/eV/atom
crystal system = orthorhombic
formation enthalpy at 0 K = 0.1315 eV per atom
total magnetic moment = 0.000 Bohr magnetons per cell

Compound: BaP2NO
Source: the Alexandria database
Functional: PBE-GGA
Structure: optimized geometry

Cell and atoms, written as extended XYZ:
```
5
Lattice="6.997 0.000 0.000 0.000 6.997 0.000 0.000 0.000 4.682" Properties=species:S:1:pos:R:3 pbc="T T T"
Ba 0.000 0.000 0.000
P 0.000 3.499 0.000
P 3.499 0.000 0.000
N 3.499 3.499 2.341
O 0.000 0.000 2.341
```

final energy = -3.506 eV per atom
calculated volume = 45.8 Å³ per atom
Fermi-level density of states = 0.3543 states/eV/atom
crystal system = tetragonal
total magnetic moment = 8.714 Bohr magnetons per cell

Compound: NaTlS2
Source: the Alexandria database
Functional: PBE-GGA
Structure: optimized geometry

Cell and atoms, written as extended XYZ:
```
8
Lattice="-3.237 3.237 5.511 3.237 -3.237 5.511 3.237 3.237 -5.511" Properties=species:S:1:pos:R:3 pbc="T T T"
Na 0.000 0.000 0.000
Na 0.000 3.237 2.755
Tl 3.237 0.000 2.755
Tl 0.000 0.000 5.511
S 1.618 -1.442 4.133
S 1.795 1.618 1.378
S 1.618 4.679 -1.378
S 1.442 1.618 6.888
```

final energy = -3.540 eV per atom
calculated volume = 28.9 Å³ per atom
Fermi-level density of states = 0.0000 states/eV/atom
crystal system = tetragonal
total magnetic moment = 0.000 Bohr magnetons per cell

Compound: SrMgRe2
Source: the Alexandria database
Functional: PBE-GGA
Structure: optimized geometry

Cell and atoms, written as extended XYZ:
```
4
Lattice="3.179 0.000 0.000 0.000 3.179 0.000 0.000 0.000 8.398" Properties=species:S:1:pos:R:3 pbc="T T T"
Sr 0.000 0.000 0.000
Mg 1.590 1.590 2.889
Re 0.000 0.000 4.710
Re 1.590 1.590 5.991
```

calculated volume = 21.2 Å³ per atom
Fermi-level density of states = 0.8324 states/eV/atom
crystal system = tetragonal
formation enthalpy at 0 K = 0.3511 eV per atom
total magnetic moment = 0.003 Bohr magnetons per cell